This record from Alexandria via LeMat-Bulk describes a relaxed structure of Rb2MgGe2. The functional is PBE.

Density of states at the Fermi level (states/eV/cell): 9.30
Symmetry: P4/mbm (127)
DFT formation energy (meV/atom): 87
E_tot (eV/atom): -2.4658

```
Rb2MgGe2
1.0
7.599 0.000 0.000
0.000 7.599 0.000
0.000 0.000 5.816
Ge Mg Rb
4 2 4
Cartesian
2.942 6.741 0.000 Ge
6.741 4.657 0.000 Ge
4.657 0.858 0.000 Ge
0.858 2.942 0.000 Ge
0.000 0.000 0.000 Mg
3.799 3.799 0.000 Mg
1.418 5.218 2.908 Rb
5.218 6.180 2.908 Rb
6.180 2.381 2.908 Rb
2.381 1.418 2.908 Rb
```